A plane-wave DFT calculation with PBE with a Hubbard U was carried out for crystalline VHOsO2 at its relaxed geometry.

It has space group P4/mmm (No. 123), with a = 3.7068 Å, b = 3.7068 Å, c = 5.3605 Å, α = 90.00°, β = 90.00° and γ = 90.00°. The asymmetric unit holds V at (0.0000, 0.0000, 0.0000), H at (0.5000, 0.5000, 0.0000), Os at (0.0000, 0.0000, 0.5000) and O at (0.0000, 0.5000, 0.5000).

For the total energy, the calculation gives -6.070 eV per atom. The value obtained for the density of states at the Fermi level is 3.52 states/eV per cell.